[1]
The following is a GGA-PBEsol calculation of crystalline YRe2Cl at its relaxed geometry, from Alexandria via LeMat-Bulk.

The structure belongs to space group Cmmm (No. 65); the cell edges are 4.977, 10.579 and 2.792 Å and the angles 90.00°, 90.00° and 90.00°. The distinct sites, in fractional coordinates, are Y at (0.000, 0.000, 0.000), Re at (0.250, 0.250, 0.500) and Cl at (0.000, 0.500, 0.000).

Its total energy is -8.1753 eV per atom. The volume is 147.0 Å³ per cell. For the total magnetization, the calculation gives 0.0 μB per formula unit.

=====

[2]
The following is a GGA-PBEsol calculation of crystalline Mg2AsPb at its relaxed geometry, from Alexandria via LeMat-Bulk.

The structure belongs to space group R-3m (No. 166, hexagonal axes); the cell edges are 3.9989, 3.9989 and 20.9675 Å and the angles 90.00°, 90.00° and 120.00°. The distinct sites, in fractional coordinates, are Mg at (0.0000, 0.0000, 0.2266), As at (0.0000, 0.0000, 0.5000) and Pb at (0.0000, 0.0000, 0.0000).

The volume is 290.4 Å³ per cell. For the total magnetization, the calculation gives 0.0 μB per formula unit. The calculated formation energy comes out at -228 meV/atom.

=====

[3]
The following is a GGA-PBEsol calculation of crystalline SrHf2H at its relaxed geometry, from Alexandria via LeMat-Bulk.

The structure belongs to space group Fm-3m (No. 225); the cell edges are 6.979, 6.979 and 6.979 Å and the angles 90.00°, 90.00° and 90.00°. The distinct sites, in fractional coordinates, are Sr at (0.000, 0.000, 0.000), Hf at (0.250, 0.250, 0.250) and H at (0.000, 0.000, 0.500).

Its total energy is -5.0132 eV per atom. The volume is 339.9 Å³ per cell. For the total magnetization, the calculation gives 0.0 μB per formula unit.

=====

[4]
The following is a GGA-PBEsol calculation of crystalline BaIr3Ru at its relaxed geometry, from Alexandria via LeMat-Bulk.

The structure belongs to space group Pm-3m (No. 221); the cell edges are 4.936, 4.936 and 4.936 Å and the angles 90.00°, 90.00° and 90.00°. The distinct sites, in fractional coordinates, are Ba at (0.000, 0.000, 0.000), Ir at (0.000, 0.000, 0.500) and Ru at (0.500, 0.500, 0.500).

The volume is 120.2 Å³ per cell. For the total magnetization, the calculation gives 4.1 μB per formula unit. The calculated formation energy comes out at 3516 meV/atom.

=====

[5]
The following is a GGA-PBEsol calculation of crystalline Sr2CdBiC at its relaxed geometry, from Alexandria via LeMat-Bulk.

The structure belongs to space group P4/mmm (No. 123); the cell edges are 6.273, 6.273 and 5.481 Å and the angles 90.00°, 90.00° and 90.00°. The distinct sites, in fractional coordinates, are Sr at (0.000, 0.500, 0.000), Cd at (0.000, 0.000, 0.500), Bi at (0.000, 0.000, 0.000) and C at (0.500, 0.500, 0.500).

The volume is 215.7 Å³ per cell. For the total magnetization, the calculation gives 1.8 μB per formula unit. The calculated formation energy comes out at 1196 meV/atom.

=====

[6]
The following is a GGA-PBEsol calculation of crystalline LaCdTc2 at its relaxed geometry, from Alexandria via LeMat-Bulk.

The structure belongs to space group P4/mmm (No. 123); the cell edges are 2.769, 2.769 and 9.550 Å and the angles 90.00°, 90.00° and 90.00°. The distinct sites, in fractional coordinates, are La at (0.000, 0.000, 0.000), Cd at (0.000, 0.000, 0.500) and Tc at (0.500, 0.500, 0.272).

The volume is 73.2 Å³ per cell. For the total magnetization, the calculation gives 0.0 μB per formula unit. The calculated formation energy comes out at 710 meV/atom.

=====

[7]
The following is a GGA-PBEsol calculation of crystalline HfZrNiPb2 at its relaxed geometry, from Alexandria via LeMat-Bulk.

The structure belongs to space group P4/mmm (No. 123); the cell edges are 5.428, 5.428 and 4.451 Å and the angles 90.00°, 90.00° and 90.00°. The distinct sites, in fractional coordinates, are Hf at (0.000, 0.000, 0.000), Zr at (0.500, 0.500, 0.500), Ni at (0.500, 0.500, 0.000) and Pb at (0.000, 0.500, 0.500).

The volume is 131.1 Å³ per cell. For the total magnetization, the calculation gives 0.0 μB per formula unit. The calculated formation energy comes out at 1028 meV/atom.

=====

[8]
The following is a GGA-PBEsol calculation of crystalline YAsOs2 at its relaxed geometry, from Alexandria via LeMat-Bulk.

The structure belongs to space group Immm (No. 71); the cell edges are 3.010, 4.726 and 9.275 Å and the angles 90.00°, 90.00° and 90.00°. The distinct sites, in fractional coordinates, are Y at (0.000, 0.000, 0.000), As at (0.000, 0.000, 0.500) and Os at (0.000, 0.500, 0.220).

The volume is 131.9 Å³ per cell. For the total magnetization, the calculation gives 0.0 μB per formula unit. The calculated formation energy comes out at 107 meV/atom.

=====

[9]
The following is a GGA-PBEsol calculation of crystalline Sc2FeIrRh at its relaxed geometry, from Alexandria via LeMat-Bulk.

The structure belongs to space group P4/mmm (No. 123); the cell edges are 4.779, 4.779 and 4.677 Å and the angles 90.00°, 90.00° and 90.00°. The distinct sites, in fractional coordinates, are Sc at (0.000, 0.500, 0.000), Fe at (0.000, 0.000, 0.500), Ir at (0.500, 0.500, 0.500) and Rh at (0.500, 0.500, 0.000).

The volume is 106.8 Å³ per cell. For the total magnetization, the calculation gives 3.1 μB per formula unit. The calculated formation energy comes out at 731 meV/atom.

=====

[10]
The following is a GGA-PBEsol calculation of crystalline Zr2CdRh at its relaxed geometry, from Alexandria via LeMat-Bulk.

The structure belongs to space group I4/mmm (No. 139); the cell edges are 4.242, 4.242 and 8.207 Å and the angles 90.00°, 90.00° and 90.00°. The distinct sites, in fractional coordinates, are Zr at (0.000, 0.500, 0.250), Cd at (0.000, 0.000, 0.000) and Rh at (0.000, 0.000, 0.500).

The volume is 147.7 Å³ per cell. For the total magnetization, the calculation gives 0.0 μB per formula unit. The calculated formation energy comes out at -300 meV/atom.

=====

[11]
The following is a GGA-PBEsol calculation of crystalline SrFe2Se at its relaxed geometry, from Alexandria via LeMat-Bulk.

The structure belongs to space group R-3m (No. 166, hexagonal axes); the cell edges are 4.1089, 4.1089 and 16.0990 Å and the angles 90.00°, 90.00° and 120.00°. The distinct sites, in fractional coordinates, are Sr at (0.0000, 0.0000, 0.0000), Fe at (0.0000, 0.0000, 0.1817) and Se at (0.0000, 0.0000, 0.5000).

Its total energy is -5.9964 eV per atom. The volume is 235.4 Å³ per cell. For the total magnetization, the calculation gives 3.5 μB per formula unit.

=====

[12]
The following is a GGA-PBEsol calculation of crystalline K4LiTe at its relaxed geometry, from Alexandria via LeMat-Bulk.

The structure belongs to space group F-43m (No. 216); the cell edges are 10.324, 10.324 and 10.324 Å and the angles 90.00°, 90.00° and 90.00°. The distinct sites, in fractional coordinates, are K at (0.123, 0.123, 0.377), Li at (0.000, 0.000, 0.000) and Te at (0.250, 0.250, 0.750).

Its total energy is -1.6228 eV per atom. The volume is 1100.4 Å³ per cell. For the total magnetization, the calculation gives 0.8 μB per formula unit.